No. 1
The following is a DFT calculation (PBE) of an optimized crystal structure of Mg2ScTl.

Results
* total DFT energy (no corrections): -3.017 eV per atom
* calculated density: 5.15 g/cm3
* spin magnetization: 0.49 μB/f.u.
* polymorph energy (0 for the lowest one): 0.55 eV per formula unit
* space group: No. 123
* calculated formation energy: -0.05 eV/atom

Lattice parameters (Å, degrees): 3.3338 3.3338 8.6361 90.00 90.00 90.00
With the nearest neighbours (Å) after each atom.
Positions (direct):
Mg 0.0000 0.0000 0.2496  4 Sc 3.19, 4 Tl 3.20, 4 Mg 3.33
Mg 0.0000 0.0000 0.7504  4 Sc 3.19, 4 Tl 3.20, 4 Mg 3.33
Sc 0.5000 0.5000 0.0000  8 Mg 3.19, 4 Sc 3.33
Tl 0.5000 0.5000 0.5000  8 Mg 3.20, 4 Tl 3.33

---

No. 2
The following is a DFT calculation (PBE) of an optimized crystal structure of Li3SbRh3O8.

Results
* total DFT energy (no corrections): -5.945 eV per atom
* calculated density: 5.76 g/cm3
* spin magnetization: 0.00 μB/f.u.
* space group: No. 166
* uncorrected formation energy: -1173 meV per atom

Lattice parameters (Å, degrees): 6.1161 6.1161 6.1161 61.41 61.41 61.41
With the nearest neighbours (Å) after each atom.
Positions (direct):
Li 0.0000 0.5000 0.5000  6 O 2.22-2.30
Li 0.5000 0.0000 0.5000  6 O 2.22-2.30
Li 0.5000 0.5000 0.0000  6 O 2.22-2.30
Sb 0.5000 0.5000 0.5000  6 O 2.03
Rh 0.0000 0.0000 0.5000  6 O 2.08-2.16
Rh 0.0000 0.5000 0.0000  6 O 2.08-2.16
Rh 0.5000 0.0000 0.0000  6 O 2.08-2.16
O 0.2370 0.2370 0.2370  3 Rh 2.08, 3 Li 2.30
O 0.2613 0.7315 0.7315  1 Sb 2.03, 2 Rh 2.16, 2 Li 2.22
O 0.2685 0.2685 0.7387  1 Sb 2.03, 2 Rh 2.16, 2 Li 2.22
O 0.2685 0.7387 0.2685  1 Sb 2.03, 2 Rh 2.16, 2 Li 2.22
O 0.7315 0.2613 0.7315  1 Sb 2.03, 2 Rh 2.16, 2 Li 2.22
O 0.7315 0.7315 0.2613  1 Sb 2.03, 2 Rh 2.16, 2 Li 2.22
O 0.7387 0.2685 0.2685  1 Sb 2.03, 2 Rh 2.16, 2 Li 2.22
O 0.7630 0.7630 0.7630  3 Rh 2.08, 3 Li 2.30

---

No. 3
The following is a DFT calculation (PBE) of an optimized crystal structure of CrSb2ICl.

Results
* total DFT energy (no corrections): -4.025 eV per atom
* calculated density: 5.46 g/cm3
* spin magnetization: 1.70 μB/f.u.
* polymorph energy (0 for the lowest one): 0.00 eV per formula unit
* space group: No. 123
* uncorrected formation energy: 228 meV per atom

Lattice parameters (Å, degrees): 5.1014 5.1014 5.3469 90.00 90.00 90.00
With the nearest neighbours (Å) after each atom.
Positions (direct):
Cr 0.0000 0.0000 0.0000  4 Sb 2.55, 2 I 2.67
Sb 0.0000 0.5000 0.0000  2 Cr 2.55
Sb 0.5000 0.0000 0.0000  2 Cr 2.55
I 0.0000 0.0000 0.5000  2 Cr 2.67
Cl 0.5000 0.5000 0.5000  4 I 3.61, 8 Sb 3.70

---

No. 4
The following is a DFT calculation (PBE) of an optimized crystal structure of CsY2AsIr.

Results
* total DFT energy (no corrections): -5.287 eV per atom
* calculated density: 6.51 g/cm3
* spin magnetization: 0.00 μB/f.u.
* space group: No. 123
* calculated formation energy: 0.17 eV/atom

Lattice parameters (Å, degrees): 5.5887 5.5887 4.7204 90.00 90.00 90.00
With the nearest neighbours (Å) after each atom.
Positions (direct):
Cs 0.0000 0.0000 0.0000  8 Y 3.66, 4 Ir 3.95
Y 0.0000 0.5000 0.5000  2 As 2.79
Y 0.5000 0.0000 0.5000  2 As 2.79
As 0.5000 0.5000 0.5000  2 Ir 2.36
Ir 0.5000 0.5000 0.0000  2 As 2.36

---

No. 5
The following is a DFT calculation (PBE) of an optimized crystal structure of Si4Te2H44PtC16Cl2.

Results
* total DFT energy (no corrections): -5.054 eV per atom
* calculated density: 1.64 g/cm3
* spin magnetization: 0.00 μB/f.u.
* space group: No. 15

Lattice parameters (Å, degrees): 12.9048 12.9048 20.9002 95.38 95.38 30.62
With the nearest neighbours (Å) after each atom.
Positions (direct):
Si 0.0932 0.7526 0.6127  4 C 1.88-1.90
Si 0.0941 0.5773 0.3584  4 C 1.88-1.90
Si 0.2474 0.9068 0.8873  4 C 1.88-1.90
Si 0.4227 0.9059 0.1416  4 C 1.88-1.90
Si 0.5773 0.0941 0.8584  4 C 1.88-1.90
Si 0.7526 0.0932 0.1127  4 C 1.88-1.90
Si 0.9059 0.4227 0.6416  4 C 1.88-1.90
Si 0.9068 0.2474 0.3873  4 C 1.88-1.90
Te 0.1154 0.2078 0.0074  2 C 2.17
Te 0.2078 0.1154 0.5074  2 C 2.17
Te 0.7922 0.8846 0.4926  2 C 2.17
Te 0.8846 0.7922 0.9926  2 C 2.17
H 0.0030 0.9813 0.3528  1 C 1.10
H 0.0187 0.9970 0.1472  1 C 1.10
H 0.0240 0.4402 0.5626  1 C 1.10
H 0.0370 0.6090 0.5851  1 C 1.10
H 0.0532 0.1850 0.1568  1 C 1.10
H 0.0546 0.4327 0.3033  1 C 1.10
H 0.0943 0.8075 0.1688  1 C 1.10
H 0.1018 0.1853 0.7315  1 C 1.10
H 0.1131 0.2652 0.1837  1 C 1.10
H 0.1141 0.8207 0.0880  1 C 1.10
H 0.1397 0.1858 0.8809  1 C 1.10
H 0.1497 0.6605 0.7264  1 C 1.10
H 0.1638 0.4853 0.4744  1 C 1.10
H 0.1793 0.8859 0.4120  1 C 1.10
H 0.1850 0.0532 0.6568  1 C 1.10
H 0.1853 0.1018 0.2315  1 C 1.10
H 0.1858 0.1397 0.3809  1 C 1.10
H 0.1881 0.7205 0.5041  1 C 1.10
H 0.1925 0.9057 0.3312  1 C 1.10
H 0.2253 0.3605 0.2617  1 C 1.10
H 0.2346 0.3085 0.8332  1 C 1.10
H 0.2601 0.6073 0.3920  1 C 1.10
H 0.2652 0.1131 0.6837  1 C 1.10
H 0.2795 0.8119 0.9959  1 C 1.10
H 0.3085 0.2346 0.3332  1 C 1.10
H 0.3395 0.8503 0.7736  1 C 1.10
H 0.3401 0.5831 0.7036  1 C 1.10
H 0.3498 0.4399 0.6763  1 C 1.10
H 0.3496 0.4396 0.8913  1 C 1.10
H 0.3541 0.4698 0.3179  1 C 1.10
H 0.3605 0.2253 0.7617  1 C 1.10
H 0.3657 0.6172 0.5647  1 C 1.10
H 0.3738 0.4768 0.5349  1 C 1.10
H 0.3828 0.6343 0.9353  1 C 1.10
H 0.3910 0.9630 0.9149  1 C 1.10
H 0.3927 0.7399 0.1080  1 C 1.10
H 0.4169 0.6599 0.7964  1 C 1.10
H 0.4327 0.0546 0.8033  1 C 1.10
H 0.4402 0.0240 0.0626  1 C 1.10
H 0.4399 0.3498 0.1763  1 C 1.10
H 0.4396 0.3496 0.3913  1 C 1.10
H 0.4698 0.3541 0.8179  1 C 1.10
H 0.4768 0.3738 0.0349  1 C 1.10
H 0.4853 0.1638 0.9744  1 C 1.10
H 0.5147 0.8362 0.0256  1 C 1.10
H 0.5232 0.6262 0.9651  1 C 1.10
H 0.5302 0.6459 0.1821  1 C 1.10
H 0.5604 0.6504 0.6087  1 C 1.10
H 0.5601 0.6502 0.8237  1 C 1.10
H 0.5598 0.9760 0.9374  1 C 1.10
H 0.5673 0.9454 0.1967  1 C 1.10
H 0.5831 0.3401 0.2036  1 C 1.10
H 0.6073 0.2601 0.8920  1 C 1.10
H 0.6090 0.0370 0.0851  1 C 1.10
H 0.6172 0.3657 0.0647  1 C 1.10
H 0.6262 0.5232 0.4651  1 C 1.10
H 0.6343 0.3828 0.4353  1 C 1.10
H 0.6395 0.7747 0.2383  1 C 1.10
H 0.6459 0.5302 0.6821  1 C 1.10
H 0.6504 0.5604 0.1087  1 C 1.10
H 0.6502 0.5601 0.3237  1 C 1.10
H 0.6599 0.4169 0.2964  1 C 1.10
H 0.6605 0.1497 0.2264  1 C 1.10
H 0.6915 0.7654 0.6668  1 C 1.10
H 0.7205 0.1881 0.0041  1 C 1.10
H 0.7348 0.8869 0.3163  1 C 1.10
H 0.7399 0.3927 0.6080  1 C 1.10
H 0.7654 0.6915 0.1668  1 C 1.10
H 0.7747 0.6395 0.7383  1 C 1.10
H 0.8075 0.0943 0.6688  1 C 1.10
H 0.8119 0.2795 0.4959  1 C 1.10
H 0.8142 0.8603 0.6191  1 C 1.10
H 0.8147 0.8982 0.7685  1 C 1.10
H 0.8150 0.9468 0.3432  1 C 1.10
H 0.8207 0.1141 0.5880  1 C 1.10
H 0.8362 0.5147 0.5256  1 C 1.10
H 0.8503 0.3395 0.2736  1 C 1.10
H 0.8603 0.8142 0.1191  1 C 1.10
H 0.8859 0.1793 0.9120  1 C 1.10
H 0.8869 0.7348 0.8163  1 C 1.10
H 0.8982 0.8147 0.2685  1 C 1.10
H 0.9057 0.1925 0.8312  1 C 1.10
H 0.9454 0.5673 0.6967  1 C 1.10
H 0.9468 0.8150 0.8432  1 C 1.10
H 0.9630 0.3910 0.4149  1 C 1.10
H 0.9760 0.5598 0.4374  1 C 1.10
H 0.9813 0.0030 0.8528  1 C 1.10
H 0.9970 0.0187 0.6472  1 C 1.10
Pt 0.0000 0.5000 0.0000  2 Cl 2.33
Pt 0.5000 0.0000 0.5000  2 Cl 2.33
C 0.0194 0.9129 0.1308  3 H 1.10
C 0.0306 0.5936 0.4413  2 H 1.10
C 0.0595 0.2382 0.4132  2 H 1.10
C 0.0871 0.9806 0.3692  3 H 1.10
C 0.1363 0.1695 0.6817  3 H 1.10
C 0.1695 0.1363 0.1817  3 H 1.10
C 0.1792 0.3826 0.3098  3 H 1.10
C 0.2382 0.0595 0.9132  2 H 1.10
C 0.2469 0.5947 0.6869  3 H 1.10
C 0.2710 0.6307 0.5480  3 H 1.10
C 0.3061 0.4939 0.3658  3 H 1.10
C 0.3693 0.7290 0.9520  3 H 1.10
C 0.3826 0.1792 0.8098  3 H 1.10
C 0.4053 0.7531 0.8131  3 H 1.10
C 0.4064 0.9694 0.0587  2 H 1.10
C 0.4939 0.3061 0.8658  3 H 1.10
C 0.5061 0.6939 0.1342  3 H 1.10
C 0.5936 0.0306 0.9413  2 H 1.10
C 0.5947 0.2469 0.1869  3 H 1.10
C 0.6174 0.8208 0.1902  3 H 1.10
C 0.6307 0.2710 0.0480  3 H 1.10
C 0.6939 0.5061 0.6342  3 H 1.10
C 0.7290 0.3693 0.4520  3 H 1.10
C 0.7531 0.4053 0.3131  3 H 1.10
C 0.7618 0.9405 0.0868  2 H 1.10
C 0.8208 0.6174 0.6902  3 H 1.10
C 0.8305 0.8637 0.8183  3 H 1.10
C 0.8637 0.8305 0.3183  3 H 1.10
C 0.9129 0.0194 0.6308  3 H 1.10
C 0.9405 0.7618 0.5868  2 H 1.10
C 0.9694 0.4064 0.5587  2 H 1.10
C 0.9806 0.0871 0.8692  3 H 1.10
Cl 0.1823 0.4048 0.0929  1 Pt 2.33
Cl 0.4048 0.1823 0.5929  1 Pt 2.33
Cl 0.5952 0.8177 0.4071  1 Pt 2.33
Cl 0.8177 0.5952 0.9071  1 Pt 2.33

---

No. 6
The following is a DFT calculation (PBE) of an optimized crystal structure of SrTa2Au.

Results
* total DFT energy (no corrections): -6.605 eV per atom
* calculated density: 12.29 g/cm3
* spin magnetization: 0.00 μB/f.u.
* polymorph energy (0 for the lowest one): 1.36 eV per formula unit
* space group: No. 47
* calculated formation energy: 0.56 eV/atom

Lattice parameters (Å, degrees): 3.2568 4.8148 5.5710 90.00 90.00 90.00
With the nearest neighbours (Å) after each atom.
Positions (direct):
Sr 0.0000 0.0000 0.0000  4 Au 2.91, 4 Ta 3.23
Ta 0.0000 0.5000 0.5000  4 Ta 2.91, 4 Au 3.23
Ta 0.5000 0.0000 0.5000  4 Ta 2.91, 4 Sr 3.23
Au 0.5000 0.5000 0.0000  4 Sr 2.91, 4 Ta 3.23

---

No. 7
The following is a DFT calculation (PBE) of an optimized crystal structure of AcZnGa2Ru2.

Results
* total DFT energy (no corrections): -5.114 eV per atom
* calculated density: 8.46 g/cm3
* spin magnetization: 0.00 μB/f.u.
* space group: No. 123
* calculated formation energy: -0.12 eV/atom

Lattice parameters (Å, degrees): 4.6402 4.6402 5.7790 90.00 90.00 90.00
With the nearest neighbours (Å) after each atom.
Positions (direct):
Ac 0.0000 0.0000 0.0000  2 Zn 2.89
Zn 0.0000 0.0000 0.5000  4 Ru 2.32
Ga 0.5000 0.5000 0.2640  4 Ru 2.69, 1 Ga 2.73
Ga 0.5000 0.5000 0.7360  4 Ru 2.69, 1 Ga 2.73
Ru 0.0000 0.5000 0.5000  2 Zn 2.32
Ru 0.5000 0.0000 0.5000  2 Zn 2.32

---

No. 8
The following is a DFT calculation (PBE) of an optimized crystal structure of ZnRe3Os.

Results
* total DFT energy (no corrections): -7.749 eV per atom
* calculated density: 12.84 g/cm3
* spin magnetization: 1.17 μB/f.u.
* polymorph energy (0 for the lowest one): 0.21 eV per formula unit
* space group: No. 221
* calculated formation energy: 2.22 eV/atom

Lattice parameters (Å, degrees): 4.7224 4.7224 4.7224 90.00 90.00 90.00
With the nearest neighbours (Å) after each atom.
Positions (direct):
Zn 0.0000 0.0000 0.0000  12 Re 3.34
Re 0.0000 0.5000 0.5000  2 Os 2.36
Re 0.5000 0.0000 0.5000  2 Os 2.36
Re 0.5000 0.5000 0.0000  2 Os 2.36
Os 0.5000 0.5000 0.5000  6 Re 2.36

---

No. 9
The following is a DFT calculation (PBE) of an optimized crystal structure of MgBe2FeIr.

Results
* total DFT energy (no corrections): -4.823 eV per atom
* calculated density: 5.68 g/cm3
* spin magnetization: 3.06 μB/f.u.
* space group: No. 123
* calculated formation energy: 0.45 eV/atom

Lattice parameters (Å, degrees): 4.2385 4.2385 4.7290 90.00 90.00 90.00
With the nearest neighbours (Å) after each atom.
Positions (direct):
Mg 0.0000 0.0000 0.0000  4 Fe 3.00, 8 Be 3.18
Be 0.0000 0.5000 0.5000  2 Ir 2.12
Be 0.5000 0.0000 0.5000  2 Ir 2.12
Fe 0.5000 0.5000 0.0000  2 Ir 2.36
Ir 0.5000 0.5000 0.5000  4 Be 2.12, 2 Fe 2.36

---

No. 10
The following is a DFT calculation (PBE) of an optimized crystal structure of FeRh2Br.

Results
* total DFT energy (no corrections): -5.913 eV per atom
* calculated density: 8.89 g/cm3
* spin magnetization: 4.95 μB/f.u.
* polymorph energy (0 for the lowest one): 0.00 eV per formula unit
* space group: No. 123
* uncorrected formation energy: 297 meV per atom

Lattice parameters (Å, degrees): 3.0698 3.0698 6.7726 90.00 90.00 90.00
With the nearest neighbours (Å) after each atom.
Positions (direct):
Fe 0.0000 0.0000 0.0000  8 Rh 2.59
Rh 0.5000 0.5000 0.2096  4 Fe 2.59, 1 Rh 2.84
Rh 0.5000 0.5000 0.7904  4 Fe 2.59, 1 Rh 2.84
Br 0.0000 0.0000 0.5000  8 Rh 2.93, 4 Br 3.07